# Pa2CrCo2N6

A relaxed structure of Pa2CrCo2N6 (PBE, the Alexandria database).

Calculated values
Formation energy (no corrections) (meV per atom): -442
Symmetry: R-3m, No. 166

a = 5.553 Å, b = 5.553 Å, c = 5.688 Å
α = 60.78°, β = 60.78°, γ = 60.00°
Last column: magnetic moment on the atom in μB.
Sites, in units of the cell vectors:
N 0.214 0.758 0.270  -0.03
N 0.242 0.786 0.730  -0.03
N 0.758 0.214 0.270  -0.03
N 0.242 0.242 0.730  -0.03
N 0.786 0.242 0.730  -0.03
N 0.758 0.758 0.270  -0.03
Pa 0.778 0.778 0.667  0.00
Pa 0.222 0.222 0.333  0.00
Co 0.406 0.406 0.782  -0.16
Co 0.594 0.594 0.218  -0.16
Cr 0.000 0.000 0.000  1.27